VASP calculation (PBE with a Hubbard U) on KNiO2 after structural relaxation.

Properties
* electronic total energy: -4.39 eV/atom
* space group: P2/c, No. 13
* M_tot: 4.11 μB/cell

abc: 6.740 4.896 9.835
angles: 90.00 119.37 90.00
Fractional coordinates of all 16 atoms:
K  0.107  0.249  0.127
K  0.107  0.751  0.627
K  0.893  0.249  0.373
K  0.893  0.751  0.873
Ni  0.496  0.350  0.881
Ni  0.496  0.650  0.381
Ni  0.504  0.350  0.619
Ni  0.504  0.650  0.119
O  0.291  0.253  0.673
O  0.291  0.747  0.173
O  0.294  0.471  0.420
O  0.294  0.529  0.920
O  0.706  0.471  0.080
O  0.706  0.529  0.580
O  0.709  0.253  0.827
O  0.709  0.747  0.327